1.
The following is a DFT calculation (PBE+U) of CrBi2OsF after structural relaxation.

Lattice parameters (Å, degrees): 5.4522 3.7046 5.4522 90.00 90.00 90.00
Last column: magnetic moment on the atom in μB.
Sites, in units of the cell vectors:
Cr1 0.0000 0.0000 0.0000  3.45
F1 0.0000 0.5000 0.0000  0.02
Os1 0.5000 0.5000 0.5000  1.16
Bi1 0.5000 0.0000 0.0000  -0.23
Bi2 0.0000 0.0000 0.5000  -0.12

Properties
Electronic total energy (eV/atom): -5.300
DOS at the Fermi energy (states/eV/atom): 1.08



2.
The following is a DFT calculation (PBE+U) of MgVN2O after structural relaxation.

Lattice parameters (Å, degrees): 3.8786 3.8786 3.6492 90.00 90.00 90.00
Last column: magnetic moment on the atom in μB.
Sites, in units of the cell vectors:
Mg1 0.0000 0.0000 0.0000  0.02
O1 0.0000 0.0000 0.5000  0.25
V1 0.5000 0.5000 0.5000  0.06
N1 0.5000 0.0000 0.0000  0.44
N2 0.0000 0.5000 0.0000  0.44

Properties
Electronic total energy (eV/atom): -5.021
DOS at the Fermi energy (states/eV/atom): 0.74



The records above give, respectively, size of the total moment values of 4.5; 1.5 μB per formula unit.